Density functional theory data (GGA-PBE) for an optimized crystal structure of NdUBe.

a b c (Å): 4.684 4.684 4.684
angles (deg): 60.00 60.00 60.00
Sites, in units of the cell vectors:
Be 0.000 0.000 0.000
Nd 0.250 0.250 0.250
U 0.750 0.750 0.750

## Properties
Crystal system: cubic
Energy above the most stable polymorph in this dataset (eV/atom): 0.000
Space group: F-43m (216)

Density functional theory data (GGA-PBE) for an optimized crystal structure of NdBeW.

a b c (Å): 4.382 4.382 4.382
angles (deg): 60.00 60.00 60.00
Sites, in units of the cell vectors:
Be 0.000 0.000 0.000
Nd 0.250 0.250 0.250
W 0.750 0.750 0.750

## Properties
Crystal system: cubic
Space group: F-43m (216)
Calculated total energy (eV/atom): -6.218

Density functional theory data (GGA-PBE) for an optimized crystal structure of NdBeZn.

a b c (Å): 4.542 4.542 4.542
angles (deg): 60.00 60.00 60.00
Sites, in units of the cell vectors:
Be 0.250 0.250 0.250
Nd 0.750 0.750 0.750
Zn 0.000 0.000 0.000

## Properties
Crystal system: cubic
Space group: F-43m (216)
Calculated total energy (eV/atom): -3.027

Density functional theory data (GGA-PBE) for an optimized crystal structure of Be3Ni.

a b c (Å): 7.376 4.490 4.071
angles (deg): 90.00 90.00 90.00
Sites, in units of the cell vectors:
Be 0.000 0.000 0.000
Be 0.500 0.000 0.000
Be 0.250 0.248 0.190
Be 0.250 0.752 0.190
Be 0.750 0.500 0.319
Be 0.000 0.252 0.500
Be 0.500 0.252 0.500
Be 0.000 0.748 0.500
Be 0.500 0.748 0.500
Be 0.250 0.500 0.681
Be 0.750 0.248 0.810
Be 0.750 0.752 0.810
Ni 0.000 0.500 0.000
Ni 0.500 0.500 0.000
Ni 0.750 0.000 0.305
Ni 0.250 0.000 0.695

## Properties
Crystal system: orthorhombic
Energy above the most stable polymorph in this dataset (eV/atom): 0.000
Space group: Pmma (51)